Model i:
Material: SrCe2Zn
Method: DFT, PBE
State: relaxed

Lattice parameters (Å, degrees): 3.4991 3.4991 35.1442 90.00 90.00 120.00
Atoms (fractional coordinates):
Sr: 0.0000 0.0000 0.0000
Sr: 0.3333 0.6667 0.6667
Sr: 0.6667 0.3333 0.3333
Ce: 0.0000 0.0000 0.1006
Ce: 0.0000 0.0000 0.8994
Ce: 0.3333 0.6667 0.5661
Ce: 0.3333 0.6667 0.7672
Ce: 0.6667 0.3333 0.2328
Ce: 0.6667 0.3333 0.4339
Zn: 0.0000 0.0000 0.5000
Zn: 0.3333 0.6667 0.1667
Zn: 0.6667 0.3333 0.8333

Summary:
**N(E_F)**: 10.621 states/eV/f.u.
**Mass density**: 5792 kg/m3
**Spin magnetization**: 5.50 μB per cell



Model ii:
Material: SrCe2Zn
Method: DFT, PBE
State: relaxed

Lattice parameters (Å, degrees): 3.8812 3.8812 8.8763 90.00 90.00 90.00
Atoms (fractional coordinates):
Sr: 0.0000 0.0000 0.0000
Ce: 0.5000 0.5000 0.3428
Ce: 0.5000 0.5000 0.6572
Zn: 0.0000 0.0000 0.5000

Summary:
**N(E_F)**: 12.507 states/eV/f.u.
**Mass density**: 5381 kg/m3
**Spin magnetization**: 2.26 μB per cell



Of them, model i has the lowest stability.



Model i:
Material: CeTaTi2
Method: DFT, PBE
State: relaxed

Lattice parameters (Å, degrees): 2.9929 2.9929 30.8344 90.00 90.00 120.00
Atoms (fractional coordinates):
Ce: 0.0000 0.0000 0.0000
Ce: 0.3333 0.6667 0.6667
Ce: 0.6667 0.3333 0.3333
Ta: 0.0000 0.0000 0.5000
Ta: 0.3333 0.6667 0.1667
Ta: 0.6667 0.3333 0.8333
Ti: 0.0000 0.0000 0.2419
Ti: 0.0000 0.0000 0.7581
Ti: 0.3333 0.6667 0.4248
Ti: 0.3333 0.6667 0.9085
Ti: 0.6667 0.3333 0.0915
Ti: 0.6667 0.3333 0.5752

Summary:
**N(E_F)**: 8.897 states/eV/f.u.
**Mass density**: 8681 kg/m3
**Spin magnetization**: 0.01 μB per cell



Model ii:
Material: CeTaTi2
Method: DFT, PBE
State: relaxed

Lattice parameters (Å, degrees): 3.3715 3.3715 7.0919 90.00 90.00 90.00
Atoms (fractional coordinates):
Ce: 0.0000 0.0000 0.0000
Ta: 0.0000 0.0000 0.5000
Ti: 0.5000 0.5000 0.2922
Ti: 0.5000 0.5000 0.7078

Summary:
**N(E_F)**: 7.776 states/eV/f.u.
**Mass density**: 8585 kg/m3
**Spin magnetization**: 0.02 μB per cell



Of them, model i has the lowest stability.



Model i:
Material: CeZr2Ta
Method: DFT, PBE
State: relaxed

Lattice parameters (Å, degrees): 3.1002 3.1002 32.9148 90.00 90.00 120.00
Atoms (fractional coordinates):
Ce: 0.0000 0.0000 0.0000
Ce: 0.3333 0.6667 0.6667
Ce: 0.6667 0.3333 0.3333
Zr: 0.0000 0.0000 0.0922
Zr: 0.0000 0.0000 0.9078
Zr: 0.3333 0.6667 0.5745
Zr: 0.3333 0.6667 0.7588
Zr: 0.6667 0.3333 0.2412
Zr: 0.6667 0.3333 0.4255
Ta: 0.0000 0.0000 0.5000
Ta: 0.3333 0.6667 0.1667
Ta: 0.6667 0.3333 0.8333

Summary:
**N(E_F)**: 6.395 states/eV/f.u.
**Mass density**: 9156 kg/m3
**Spin magnetization**: 0.00 μB per cell



Model ii:
Material: CeZr2Ta
Method: DFT, PBE
State: relaxed

Lattice parameters (Å, degrees): 3.4519 3.4519 7.7442 90.00 90.00 90.00
Atoms (fractional coordinates):
Ce: 0.0000 0.0000 0.0000
Zr: 0.5000 0.5000 0.2856
Zr: 0.5000 0.5000 0.7144
Ta: 0.0000 0.0000 0.5000

Summary:
**N(E_F)**: 7.382 states/eV/f.u.
**Mass density**: 9061 kg/m3
**Spin magnetization**: 0.01 μB per cell



Of them, model i has the lowest stability.



Model i:
Material: Tb3Ce
Method: DFT, PBE
State: relaxed

Lattice parameters (Å, degrees): 7.1901 7.1901 5.7077 90.00 90.00 120.00
Atoms (fractional coordinates):
Tb: 0.1674 0.3348 0.2500
Tb: 0.1674 0.8326 0.2500
Tb: 0.3348 0.1674 0.7500
Tb: 0.6652 0.8326 0.2500
Tb: 0.8326 0.1674 0.7500
Tb: 0.8326 0.6652 0.7500
Ce: 0.3333 0.6667 0.7500
Ce: 0.6667 0.3333 0.2500

Summary:
**N(E_F)**: 7.869 states/eV/f.u.
**Mass density**: 8017 kg/m3
**Spin magnetization**: 1.21 μB per cell



Model ii:
Material: Tb3Ce
Method: DFT, PBE
State: relaxed

Lattice parameters (Å, degrees): 8.0215 8.0215 8.0215 90.00 90.00 90.00
Atoms (fractional coordinates):
Tb: 0.0000 0.0000 0.0000
Tb: 0.0000 0.5000 0.5000
Tb: 0.2500 0.2500 0.2500
Tb: 0.2500 0.2500 0.7500
Tb: 0.2500 0.7500 0.2500
Tb: 0.2500 0.7500 0.7500
Tb: 0.5000 0.0000 0.5000
Tb: 0.5000 0.5000 0.0000
Tb: 0.7500 0.2500 0.2500
Tb: 0.7500 0.2500 0.7500
Tb: 0.7500 0.7500 0.2500
Tb: 0.7500 0.7500 0.7500
Ce: 0.0000 0.0000 0.5000
Ce: 0.0000 0.5000 0.0000
Ce: 0.5000 0.0000 0.0000
Ce: 0.5000 0.5000 0.5000

Summary:
**N(E_F)**: 12.039 states/eV/f.u.
**Mass density**: 7939 kg/m3
**Spin magnetization**: 7.86 μB per cell



Of them, model ii has the lowest stability.



Model i:
Material: Tb3Ce
Method: DFT, PBE
State: relaxed

Lattice parameters (Å, degrees): 3.5850 11.4451 6.2193 90.00 90.00 90.00
Atoms (fractional coordinates):
Tb: 0.0000 0.0000 0.0000
Tb: 0.0000 0.2497 0.6697
Tb: 0.0000 0.7503 0.6697
Tb: 0.5000 0.2503 0.1697
Tb: 0.5000 0.5000 0.5000
Tb: 0.5000 0.7497 0.1697
Ce: 0.0000 0.5000 0.0065
Ce: 0.5000 0.0000 0.5065

Summary:
**N(E_F)**: 9.219 states/eV/f.u.
**Mass density**: 8029 kg/m3
**Spin magnetization**: 2.22 μB per cell



Model ii:
Material: Tb3Ce
Method: DFT, PBE
State: relaxed

Lattice parameters (Å, degrees): 5.0204 5.0204 10.0782 90.00 90.00 90.00
Atoms (fractional coordinates):
Tb: 0.0000 0.0000 0.0000
Tb: 0.0000 0.5000 0.2500
Tb: 0.0000 0.5000 0.7500
Tb: 0.5000 0.0000 0.2500
Tb: 0.5000 0.0000 0.7500
Tb: 0.5000 0.5000 0.5000
Ce: 0.0000 0.0000 0.5000
Ce: 0.5000 0.5000 0.0000

Summary:
**N(E_F)**: 9.245 states/eV/f.u.
**Mass density**: 8065 kg/m3
**Spin magnetization**: 2.13 μB per cell



Of them, model ii has the lowest stability.



Model i:
Material: Tb3Ce
Method: DFT, PBE
State: relaxed

Lattice parameters (Å, degrees): 3.5776 5.7268 6.2249 90.00 90.00 90.00
Atoms (fractional coordinates):
Tb: 0.0000 0.0000 0.0000
Tb: 0.0000 0.5000 0.3310
Tb: 0.5000 0.5000 0.8242
Ce: 0.5000 0.0000 0.4939

Summary:
**N(E_F)**: 9.669 states/eV/f.u.
**Mass density**: 8032 kg/m3
**Spin magnetization**: 1.07 μB per cell



Model ii:
Material: Tb3Ce
Method: DFT, PBE
State: relaxed

Lattice parameters (Å, degrees): 5.0122 5.0122 5.0122 90.00 90.00 90.00
Atoms (fractional coordinates):
Tb: 0.0000 0.0000 0.5000
Tb: 0.0000 0.5000 0.0000
Tb: 0.5000 0.0000 0.0000
Ce: 0.5000 0.5000 0.5000

Summary:
**N(E_F)**: 6.780 states/eV/f.u.
**Mass density**: 8135 kg/m3
**Spin magnetization**: 0.50 μB per cell



Of them, model i has the lowest stability.



Model i:
Material: TbCe
Method: DFT, PBE
State: relaxed

Lattice parameters (Å, degrees): 3.9907 3.9907 3.9907 90.00 90.00 90.00
Atoms (fractional coordinates):
Tb: 0.0000 0.0000 0.0000
Ce: 0.5000 0.5000 0.5000

Summary:
**N(E_F)**: 8.168 states/eV/f.u.
**Mass density**: 7813 kg/m3
**Spin magnetization**: 1.05 μB per cell



Model ii:
Material: TbCe
Method: DFT, PBE
State: relaxed

Lattice parameters (Å, degrees): 3.4785 4.9338 7.0041 90.00 90.00 90.00
Atoms (fractional coordinates):
Tb: 0.2500 0.2500 0.1299
Tb: 0.7500 0.7500 0.8701
Ce: 0.2500 0.2500 0.6116
Ce: 0.7500 0.7500 0.3884

Summary:
**N(E_F)**: 5.600 states/eV/f.u.
**Mass density**: 8262 kg/m3
**Spin magnetization**: 0.05 μB per cell



Of them, model i has the lowest stability.



Model i:
Material: TbCeTc2
Method: DFT, PBE
State: relaxed

Lattice parameters (Å, degrees): 3.4185 3.4185 6.9413 90.00 90.00 90.00
Atoms (fractional coordinates):
Tb: 0.0000 0.0000 0.0000
Ce: 0.0000 0.0000 0.5000
Tc: 0.5000 0.5000 0.2754
Tc: 0.5000 0.5000 0.7246

Summary:
**N(E_F)**: 5.772 states/eV/f.u.
**Mass density**: 10134 kg/m3
**Spin magnetization**: 0.00 μB per cell



Model ii:
Material: TbCeTc2
Method: DFT, PBE
State: relaxed

Lattice parameters (Å, degrees): 6.8663 6.8663 6.8663 90.00 90.00 90.00
Atoms (fractional coordinates):
Tb: 0.0000 0.0000 0.0000
Tb: 0.0000 0.5000 0.5000
Tb: 0.5000 0.0000 0.5000
Tb: 0.5000 0.5000 0.0000
Ce: 0.0000 0.0000 0.5000
Ce: 0.0000 0.5000 0.0000
Ce: 0.5000 0.0000 0.0000
Ce: 0.5000 0.5000 0.5000
Tc: 0.2500 0.2500 0.2500
Tc: 0.2500 0.2500 0.7500
Tc: 0.2500 0.7500 0.2500
Tc: 0.2500 0.7500 0.7500
Tc: 0.7500 0.2500 0.2500
Tc: 0.7500 0.2500 0.7500
Tc: 0.7500 0.7500 0.2500
Tc: 0.7500 0.7500 0.7500

Summary:
**N(E_F)**: 5.497 states/eV/f.u.
**Mass density**: 10158 kg/m3
**Spin magnetization**: 0.00 μB per cell



Of them, model ii has the lowest stability.



Model i:
Material: Tb4CeTe5
Method: DFT, PBE
State: relaxed

Lattice parameters (Å, degrees): 15.9042 15.9042 15.9042 164.14 164.14 22.50
Atoms (fractional coordinates):
Tb: 0.0967 0.0967 0.0000
Tb: 0.2952 0.2952 0.0000
Tb: 0.7048 0.7048 0.0000
Tb: 0.9033 0.9033 0.0000
Ce: 0.5000 0.5000 0.0000
Te: 0.0000 0.0000 0.0000
Te: 0.1969 0.1969 0.0000
Te: 0.3965 0.3965 0.0000
Te: 0.6035 0.6035 0.0000
Te: 0.8031 0.8031 0.0000

Summary:
**N(E_F)**: 11.261 states/eV/f.u.
**Mass density**: 7818 kg/m3
**Spin magnetization**: 1.28 μB per cell



Model ii:
Material: Tb4CeTe5
Method: DFT, PBE
State: relaxed

Lattice parameters (Å, degrees): 7.6587 7.6587 10.7678 118.36 118.36 33.20
Atoms (fractional coordinates):
Tb: 0.0977 0.0977 0.3955
Tb: 0.2982 0.2982 0.2002
Tb: 0.7018 0.7018 0.7998
Tb: 0.9023 0.9023 0.6045
Ce: 0.5000 0.5000 0.0000
Te: 0.1039 0.1039 0.8976
Te: 0.2965 0.2965 0.6933
Te: 0.5000 0.5000 0.5000
Te: 0.7035 0.7035 0.3067
Te: 0.8961 0.8961 0.1024

Summary:
**N(E_F)**: 11.023 states/eV/f.u.
**Mass density**: 7817 kg/m3
**Spin magnetization**: 1.31 μB per cell



Of them, model i has the lowest stability.



Model i:
Material: TbCeTe
Method: DFT, PBE
State: relaxed

Lattice parameters (Å, degrees): 3.9292 3.9292 11.6260 90.00 90.00 90.00
Atoms (fractional coordinates):
Tb: 0.0000 0.0000 0.0000
Tb: 0.5000 0.5000 0.5000
Ce: 0.0000 0.0000 0.6974
Ce: 0.5000 0.5000 0.1974
Te: 0.0000 0.0000 0.3605
Te: 0.5000 0.5000 0.8605

Summary:
**N(E_F)**: 7.586 states/eV/f.u.
**Mass density**: 7894 kg/m3
**Spin magnetization**: 2.49 μB per cell



Model ii:
Material: TbCeTe
Method: DFT, PBE
State: relaxed

Lattice parameters (Å, degrees): 4.0967 4.3208 10.1341 90.00 93.98 90.00
Atoms (fractional coordinates):
Tb: 0.2108 0.2500 0.2946
Tb: 0.7892 0.7500 0.7054
Ce: 0.3356 0.2500 0.9440
Ce: 0.6644 0.7500 0.0560
Te: 0.2757 0.2500 0.6239
Te: 0.7243 0.7500 0.3761

Summary:
**N(E_F)**: 3.954 states/eV/f.u.
**Mass density**: 7918 kg/m3
**Spin magnetization**: 0.01 μB per cell



Of them, model i has the lowest stability.



Model i:
Material: Tb6CeTe8
Method: DFT, PBE
State: relaxed

Lattice parameters (Å, degrees): 8.7314 8.7314 8.7314 60.00 60.00 60.00
Atoms (fractional coordinates):
Tb: 0.0000 0.0000 0.5000
Tb: 0.0000 0.5000 0.0000
Tb: 0.0000 0.5000 0.5000
Tb: 0.5000 0.0000 0.0000
Tb: 0.5000 0.0000 0.5000
Tb: 0.5000 0.5000 0.0000
Ce: 0.0000 0.0000 0.0000
Te: 0.2500 0.2500 0.2500
Te: 0.2608 0.2608 0.7392
Te: 0.2608 0.7392 0.2608
Te: 0.2608 0.7392 0.7392
Te: 0.7392 0.2608 0.2608
Te: 0.7392 0.2608 0.7392
Te: 0.7392 0.7392 0.2608
Te: 0.7500 0.7500 0.7500

Summary:
**N(E_F)**: 15.019 states/eV/f.u.
**Mass density**: 7460 kg/m3
**Spin magnetization**: 1.36 μB per cell



Model ii:
Material: Tb6CeTe8
Method: DFT, PBE
State: relaxed

Lattice parameters (Å, degrees): 8.2075 8.2075 8.2075 69.51 69.51 69.51
Atoms (fractional coordinates):
Tb: 0.0778 0.6932 0.4532
Tb: 0.3068 0.5468 0.9222
Tb: 0.4532 0.0778 0.6932
Tb: 0.5468 0.9222 0.3068
Tb: 0.6932 0.4532 0.0778
Tb: 0.9222 0.3068 0.5468
Ce: 0.0000 0.0000 0.0000
Te: 0.0999 0.3718 0.8073
Te: 0.1927 0.9001 0.6282
Te: 0.3261 0.3261 0.3261
Te: 0.3718 0.8073 0.0999
Te: 0.6282 0.1927 0.9001
Te: 0.6739 0.6739 0.6739
Te: 0.8073 0.0999 0.3718
Te: 0.9001 0.6282 0.1927

Summary:
**N(E_F)**: 15.607 states/eV/f.u.
**Mass density**: 7493 kg/m3
**Spin magnetization**: 1.79 μB per cell



Of them, model ii has the lowest stability.



Model i:
Material: TbCeTh2
Method: DFT, PBE
State: relaxed

Lattice parameters (Å, degrees): 7.9328 7.9328 7.9328 90.00 90.00 90.00
Atoms (fractional coordinates):
Tb: 0.0000 0.0000 0.0000
Tb: 0.0000 0.5000 0.5000
Tb: 0.5000 0.0000 0.5000
Tb: 0.5000 0.5000 0.0000
Ce: 0.0000 0.0000 0.5000
Ce: 0.0000 0.5000 0.0000
Ce: 0.5000 0.0000 0.0000
Ce: 0.5000 0.5000 0.5000
Th: 0.2500 0.2500 0.2500
Th: 0.2500 0.2500 0.7500
Th: 0.2500 0.7500 0.2500
Th: 0.2500 0.7500 0.7500
Th: 0.7500 0.2500 0.2500
Th: 0.7500 0.2500 0.7500
Th: 0.7500 0.7500 0.2500
Th: 0.7500 0.7500 0.7500

Summary:
**N(E_F)**: 10.765 states/eV/f.u.
**Mass density**: 10154 kg/m3
**Spin magnetization**: 0.01 μB per cell



Model ii:
Material: TbCeTh2
Method: DFT, PBE
State: relaxed

Lattice parameters (Å, degrees): 3.5416 3.5416 34.4439 90.00 90.00 120.00
Atoms (fractional coordinates):
Tb: 0.0000 0.0000 0.0000
Tb: 0.3333 0.6667 0.6667
Tb: 0.6667 0.3333 0.3333
Ce: 0.0000 0.0000 0.1691
Ce: 0.3333 0.6667 0.8358
Ce: 0.6667 0.3333 0.5025
Th: 0.0000 0.0000 0.5832
Th: 0.0000 0.0000 0.7533
Th: 0.3333 0.6667 0.2499
Th: 0.3333 0.6667 0.4200
Th: 0.6667 0.3333 0.0866
Th: 0.6667 0.3333 0.9166

Summary:
**N(E_F)**: 6.512 states/eV/f.u.
**Mass density**: 10160 kg/m3
**Spin magnetization**: 0.00 μB per cell



Model iii:
Material: TbCeTh2
Method: DFT, PBE
State: relaxed

Lattice parameters (Å, degrees): 3.5323 3.5323 9.9446 90.00 90.00 90.00
Atoms (fractional coordinates):
Tb: 0.0000 0.0000 0.0000
Ce: 0.0000 0.0000 0.5000
Th: 0.5000 0.5000 0.2573
Th: 0.5000 0.5000 0.7427

Summary:
**N(E_F)**: 6.486 states/eV/f.u.
**Mass density**: 10213 kg/m3
**Spin magnetization**: 0.00 μB per cell



Model iv:
Material: TbCeTh2
Method: DFT, PBE
State: relaxed

Lattice parameters (Å, degrees): 3.4466 3.4466 37.0620 90.00 90.00 120.00
Atoms (fractional coordinates):
Tb: 0.0000 0.0000 0.0000
Tb: 0.3333 0.6667 0.6667
Tb: 0.6667 0.3333 0.3333
Ce: 0.0000 0.0000 0.5000
Ce: 0.3333 0.6667 0.1667
Ce: 0.6667 0.3333 0.8333
Th: 0.0000 0.0000 0.0877
Th: 0.0000 0.0000 0.9123
Th: 0.3333 0.6667 0.5790
Th: 0.3333 0.6667 0.7543
Th: 0.6667 0.3333 0.2457
Th: 0.6667 0.3333 0.4210

Summary:
**N(E_F)**: 9.069 states/eV/f.u.
**Mass density**: 9971 kg/m3
**Spin magnetization**: 0.00 μB per cell



Of them, model iv has the lowest stability.



Model i:
Material: TbCe2Th
Method: DFT, PBE
State: relaxed

Lattice parameters (Å, degrees): 3.4814 3.4814 9.9053 90.00 90.00 90.00
Atoms (fractional coordinates):
Tb: 0.0000 0.0000 0.0000
Ce: 0.5000 0.5000 0.2581
Ce: 0.5000 0.5000 0.7419
Th: 0.0000 0.0000 0.5000

Summary:
**N(E_F)**: 8.887 states/eV/f.u.
**Mass density**: 9284 kg/m3
**Spin magnetization**: 0.00 μB per cell



Model ii:
Material: TbCe2Th
Method: DFT, PBE
State: relaxed

Lattice parameters (Å, degrees): 3.4817 3.4817 34.6476 90.00 90.00 120.00
Atoms (fractional coordinates):
Tb: 0.0000 0.0000 0.0000
Tb: 0.3333 0.6667 0.6667
Tb: 0.6667 0.3333 0.3333
Ce: 0.0000 0.0000 0.4183
Ce: 0.0000 0.0000 0.5837
Ce: 0.3333 0.6667 0.0850
Ce: 0.3333 0.6667 0.2504
Ce: 0.6667 0.3333 0.7517
Ce: 0.6667 0.3333 0.9170
Th: 0.0000 0.0000 0.1677
Th: 0.3333 0.6667 0.8344
Th: 0.6667 0.3333 0.5010

Summary:
**N(E_F)**: 9.938 states/eV/f.u.
**Mass density**: 9193 kg/m3
**Spin magnetization**: 1.91 μB per cell



Of them, model ii has the lowest stability.